one) Below is an optimized crystal structure of Mg4Se, with properties calculated at the GGA-PBE level.

abc: 8.5635 8.5635 8.5635
angles: 154.02 154.02 37.07
With the nearest neighbours (Å) after each atom.
Element x y z (fractional)
Mg1 0.0911 0.0911 0.0000  5 Mg 2.96-3.22, 4 Se 3.10
Mg2 0.2500 0.7500 0.5000  4 Mg 2.72
Mg3 0.7500 0.2500 0.5000  4 Mg 2.72
Mg4 0.9089 0.9089 0.0000  5 Mg 2.96-3.22, 4 Se 3.10
Se1 0.5000 0.5000 0.0000  8 Mg 3.10


two) Below is an optimized crystal structure of Mg4Se, with properties calculated at the GGA-PBE level.

abc: 5.5504 5.5504 5.5504
angles: 109.47 109.47 109.47
With the nearest neighbours (Å) after each atom.
Element x y z (fractional)
Mg1 0.0000 0.0000 0.5000  2 Se 2.78
Mg2 0.0000 0.5000 0.0000  2 Se 2.78
Mg3 0.5000 0.0000 0.0000  2 Se 2.78
Mg4 0.5000 0.5000 0.5000  2 Se 2.78
Se1 0.0000 0.0000 0.0000  8 Mg 2.78


three) Below is an optimized crystal structure of Mg4Se, with properties calculated at the GGA-PBE level.

abc: 6.0001 6.0001 6.0001
angles: 94.71 94.71 146.69
With the nearest neighbours (Å) after each atom.
Element x y z (fractional)
Mg1 0.0781 0.7290 0.8071  2 Se 2.87
Mg2 0.2710 0.0781 0.3491  2 Se 2.87
Mg3 0.7290 0.9219 0.6509  2 Se 2.87
Mg4 0.9219 0.2710 0.1929  2 Se 2.87
Se1 0.5000 0.5000 0.0000  8 Mg 2.87


Energy relative to the most stable one, in kJ/mol of atoms: one) 21.2; two) 24.3; three) 0.0


one) Below is an optimized crystal structure of MgSi2Se, with properties calculated at the GGA-PBE level.

abc: 3.6457 3.6457 5.6847
angles: 90.00 90.00 90.34
With the nearest neighbours (Å) after each atom.
Element x y z (fractional)
Mg1 0.0000 0.0000 0.0000  4 Se 2.57-2.59
Si1 0.2358 0.2358 0.5000  3 Si 2.42-2.59
Si2 0.7642 0.7642 0.5000  3 Si 2.42-2.59
Se1 0.5000 0.5000 0.0000  4 Mg 2.57-2.59


two) Below is an optimized crystal structure of MgSi2Se, with properties calculated at the GGA-PBE level.

abc: 4.6666 4.6666 3.3742
angles: 90.00 90.00 90.00
With the nearest neighbours (Å) after each atom.
Element x y z (fractional)
Mg1 0.0000 0.0000 0.0000  8 Si 2.88
Si1 0.0000 0.5000 0.5000  4 Se 2.88, 4 Mg 2.88
Si2 0.5000 0.0000 0.5000  4 Se 2.88, 4 Mg 2.88
Se1 0.5000 0.5000 0.0000  8 Si 2.88


Energy relative to the most stable one, in kJ/mol of atoms: one) 0.0; two) 36.0